1.
A relaxed ZnRe2Hg crystal. Source: Alexandria, functional GGA-PBE.

Computed properties:
**E**: -23.92 eV/cell
**Space-group type**: R-3m
**D(E_F)**: 1.013 states/eV per atom
**Energy of formation**: 638 meV/atom
**ΔE to the lowest computed polymorph**: 0.380 eV per atom

The structure in extended XYZ format:
```
4
Lattice="-4.095 1.383 -8.440 -6.306 0.269 -7.076 -5.774 3.038 -6.881" Properties=species:S:1:pos:R:3 pbc="T T T"
Hg -4.044 1.173 -5.599
Re -0.080 0.023 -0.110
Re -8.008 2.322 -11.088
Zn -12.131 3.518 -16.798
```



2.
A relaxed P2IrAu crystal. Source: Alexandria, functional GGA-PBE.

Computed properties:
**E**: -22.60 eV/cell
**Space-group type**: Pm
**D(E_F)**: 0.348 states/eV per atom
**Energy of formation**: 91 meV/atom
**ΔE to the lowest computed polymorph**: 0.316 eV per atom

The structure in extended XYZ format:
```
4
Lattice="3.237 0.000 0.000 0.000 4.315 0.000 0.000 2.242 4.464" Properties=species:S:1:pos:R:3 pbc="T T T"
Au 0.000 3.141 2.316
Ir 1.619 5.248 3.375
P 0.000 4.279 0.212
P 1.619 1.484 0.792
```



3.
A relaxed YBeNi4 crystal. Source: Alexandria, functional GGA-PBE.

Computed properties:
**E**: -34.57 eV/cell
**Space-group type**: F-43m
**D(E_F)**: 1.318 states/eV per atom
**Energy of formation**: -209 meV/atom

The structure in extended XYZ format:
```
6
Lattice="0.000 3.419 3.419 3.419 0.000 3.419 3.419 3.419 0.000" Properties=species:S:1:pos:R:3 pbc="T T T"
Y 5.128 5.128 5.128
Be 0.000 0.000 0.000
Ni 2.553 4.284 4.284
Ni 4.284 4.284 2.553
Ni 4.284 2.553 4.284
Ni 2.553 2.553 2.553
```



4.
A relaxed SbRhBr2 crystal. Source: Alexandria, functional GGA-PBE.

Computed properties:
**E**: -29.37 eV/cell
**Space-group type**: I-42d
**D(E_F)**: 0.822 states/eV per atom
**ΔE to the lowest computed polymorph**: 0.476 eV per atom

The structure in extended XYZ format:
```
8
Lattice="10.022 0.000 0.000 0.000 10.022 0.000 5.011 5.011 2.518" Properties=species:S:1:pos:R:3 pbc="T T T"
Sb 0.000 0.000 0.000
Sb 10.022 5.011 1.259
Rh 5.011 5.011 0.000
Rh 5.011 10.022 1.259
Br 5.653 2.506 0.630
Br 4.369 7.517 0.630
Br 7.517 9.380 1.889
Br 12.528 10.664 1.889
```



5.
A relaxed Na2TlO crystal. Source: Alexandria, functional GGA-PBE.

Computed properties:
**E**: -24.60 eV/cell
**Space-group type**: I-42d
**D(E_F)**: 0.701 states/eV per atom
**ΔE to the lowest computed polymorph**: 0.188 eV per atom

The structure in extended XYZ format:
```
8
Lattice="7.795 0.000 0.000 0.000 7.795 0.000 3.898 3.898 2.947" Properties=species:S:1:pos:R:3 pbc="T T T"
Na 4.782 1.949 0.737
Na 3.013 5.846 0.737
Na 5.846 6.911 2.210
Na 9.744 8.680 2.210
Tl 0.000 0.000 0.000
Tl 7.795 3.898 1.474
O 3.898 3.898 0.000
O 3.898 7.795 1.474
```



6.
A relaxed GeH2Rh2 crystal. Source: Alexandria, functional GGA-PBE.

Computed properties:
**E**: -26.88 eV/cell
**Space-group type**: I4/mmm
**D(E_F)**: 0.409 states/eV per atom
**ΔE to the lowest computed polymorph**: 0.000 eV per atom

The structure in extended XYZ format:
```
5
Lattice="3.052 0.000 0.000 0.000 3.052 0.000 1.526 1.526 5.288" Properties=species:S:1:pos:R:3 pbc="T T T"
H 3.052 1.526 2.644
H 1.526 3.052 2.644
Ge 0.000 0.000 0.000
Rh 1.526 1.526 1.463
Rh 3.052 3.052 3.825
```



7.
A relaxed TbB4Ir2Os crystal. Source: Alexandria, functional GGA-PBE.

Computed properties:
**E**: -61.39 eV/cell
**Space-group type**: R-3m
**D(E_F)**: 0.319 states/eV per atom
**Energy of formation**: -137 meV/atom

The structure in extended XYZ format:
```
8
Lattice="3.696 0.000 0.000 1.848 3.201 0.000 1.848 1.067 8.185" Properties=species:S:1:pos:R:3 pbc="T T T"
Tb 0.000 0.000 0.000
B 3.696 2.134 6.405
B 5.543 3.201 3.116
B 1.848 1.067 5.069
B 3.696 2.134 1.780
Ir 5.543 3.201 5.903
Ir 1.848 1.067 2.282
Os 3.696 2.134 4.092
```



8.
A relaxed KSe2Br crystal. Source: Alexandria, functional GGA-PBE.

Computed properties:
**E**: -9.03 eV/cell
**Space-group type**: R-3m
**D(E_F)**: 0.829 states/eV per atom
**ΔE to the lowest computed polymorph**: 0.865 eV per atom

The structure in extended XYZ format:
```
4
Lattice="13.866 0.075 0.044 13.498 3.172 0.044 13.498 1.602 2.738" Properties=species:S:1:pos:R:3 pbc="T T T"
Br 10.216 1.212 0.706
K 30.647 3.637 2.119
Se 0.734 0.087 0.051
Se 19.698 2.338 1.362
```